A relaxed structure of LaTaPd2I, computed with GGA-PBEsol.

Lattice parameters (Å, degrees): 4.942 4.942 5.097 90.00 90.00 90.00
Space group P4/mmm (No. 123)
Symmetry-distinct sites (fractional):
1 La 0.000 0.000 0.000 x1
2 Ta 0.500 0.500 0.000 x1
3 Pd 0.000 0.500 0.500 x2
4 I 0.500 0.500 0.500 x1

Summary:
uncorrected formation energy = 0.673 eV/atom